Entry 1:
NpCuPN | PBE | optimized geometry

```
NpCuPN
1.0
3.755 0.000 0.000
0.000 3.755 0.000
0.000 0.000 8.062
Np Cu P N
2 2 2 2
Direct
0.250 0.250 0.148
0.750 0.750 0.852
0.250 0.750 0.500
0.750 0.250 0.500
0.250 0.250 0.679
0.750 0.750 0.321
0.250 0.750 0.000
0.750 0.250 0.000
```

Properties
The crystal system is tetragonal. Its total energy is -68.06 eV/cell. For the density of states at the Fermi level, the calculation gives 1.490 states/eV/atom. As for the symmetry: P4/nmm.

***

Entry 2:
Pm2TiZnIr2 | PBE | optimized geometry

```
Pm2TiZnIr2
1.0
-2.892 6.871 3.192
2.892 -6.871 3.192
2.892 6.871 -3.192
Pm Ti Zn Ir
4 2 2 4
Direct
0.174 0.244 0.417
0.326 0.744 0.070
0.674 0.256 0.930
0.826 0.756 0.583
0.250 0.750 0.500
0.750 0.250 0.500
0.250 0.250 0.000
0.750 0.750 0.000
0.107 0.732 0.839
0.393 0.232 0.625
0.607 0.768 0.375
0.893 0.268 0.161
```

Properties
The crystal system is orthorhombic. Its total energy is -80.32 eV/cell. For the density of states at the Fermi level, the calculation gives 0.801 states/eV/atom. As for the symmetry: Ibam. For the formation enthalpy at 0 K, the calculation gives -628 meV/atom.

***

Entry 3:
Ac12Cd6Rh | PBE | optimized geometry

```
Ac12Cd6Rh
1.0
6.632 3.829 4.857
-6.632 3.829 4.857
0.000 -7.658 4.857
Ac Cd Rh
12 6 1
Direct
0.036 0.688 0.915
0.085 0.964 0.312
0.198 0.543 0.422
0.312 0.085 0.964
0.422 0.198 0.543
0.457 0.578 0.802
0.543 0.422 0.198
0.578 0.802 0.457
0.688 0.915 0.036
0.802 0.457 0.578
0.915 0.036 0.688
0.964 0.312 0.085
0.144 0.352 0.739
0.261 0.856 0.648
0.352 0.739 0.144
0.648 0.261 0.856
0.739 0.144 0.352
0.856 0.648 0.261
0.000 0.000 0.000
```

Properties
The crystal system is trigonal. Its total energy is -64.98 eV/cell. For the density of states at the Fermi level, the calculation gives 1.472 states/eV/atom. As for the symmetry: R-3. For the formation enthalpy at 0 K, the calculation gives -149 meV/atom.

***

Entry 4:
Y2ThPaN4 | PBE | optimized geometry

```
Y2ThPaN4
1.0
6.101 0.000 0.000
0.000 3.537 0.000
-2.046 0.000 5.795
Y Th Pa N
2 1 1 4
Direct
0.000 0.000 0.000
0.000 0.500 0.500
0.500 0.000 0.500
0.500 0.500 0.000
0.254 0.500 0.235
0.258 0.000 0.766
0.742 0.000 0.234
0.746 0.500 0.765
```

Properties
The crystal system is monoclinic. Its total energy is -76.20 eV/cell. For the density of states at the Fermi level, the calculation gives 0.453 states/eV/atom. As for the symmetry: P2/m.

***

Entry 5:
Re2RhPb | PBE | optimized geometry

```
Re2RhPb
1.0
2.979 0.000 0.000
0.000 2.979 0.000
0.000 0.000 7.767
Re Rh Pb
2 1 1
Direct
0.000 0.000 0.000
0.500 0.500 0.202
0.000 0.000 0.436
0.500 0.500 0.706
```

Properties
The crystal system is tetragonal. Its total energy is -34.45 eV/cell. For the density of states at the Fermi level, the calculation gives 0.698 states/eV/atom. As for the symmetry: P4mm. For the formation enthalpy at 0 K, the calculation gives 377 meV/atom.

***

Entry 6:
Pd3Pt13 | PBE | optimized geometry

```
Pd3Pt13
1.0
7.779 0.000 0.000
0.000 4.002 4.004
0.000 -4.002 4.004
Pd Pt
3 13
Direct
0.000 0.000 0.000
0.250 0.249 0.249
0.750 0.249 0.249
0.000 0.499 0.499
0.000 0.500 0.998
0.000 0.998 0.500
0.250 0.250 0.748
0.250 0.748 0.250
0.250 0.750 0.750
0.500 0.498 0.498
0.500 0.499 0.998
0.500 0.998 0.499
0.500 0.999 0.999
0.750 0.250 0.748
0.750 0.748 0.250
0.750 0.750 0.750
```

Properties
The crystal system is orthorhombic. Its total energy is -94.36 eV/cell. For the density of states at the Fermi level, the calculation gives 2.194 states/eV/atom. As for the symmetry: Amm2. For the formation enthalpy at 0 K, the calculation gives -16 meV/atom.